No. 1
NiPt12Rh2 after structural relaxation, computed with PBE.

abc: 5.3986 5.3986 18.0950
angles: 90.00 90.00 90.00
Closest atoms and distances in Å follow each position.
Fractional coordinates of all 30 atoms:
Ni  0.2500  0.7500  0.0000  8 Pt 2.52-2.53
Ni  0.7500  0.2500  0.0000  8 Pt 2.52-2.53
Pt  0.0003  0.9997  0.0914  2 Ni 2.52-2.53, 6 Pt 2.70-2.77, 2 Rh 2.81
Pt  0.9997  0.0003  0.9086  2 Ni 2.52-2.53, 6 Pt 2.70-2.77, 2 Rh 2.81
Pt  0.9997  0.4997  0.0914  2 Ni 2.52-2.53, 6 Pt 2.70-2.77, 2 Rh 2.81
Pt  0.0003  0.5003  0.9086  2 Ni 2.52-2.53, 6 Pt 2.70-2.77, 2 Rh 2.81
Pt  0.0790  0.5790  0.4339  8 Pt 2.61-2.83
Pt  0.0790  0.9210  0.5661  8 Pt 2.61-2.83
Pt  0.2500  0.2500  0.2025  1 Pt 2.47, 4 Rh 2.70
Pt  0.2500  0.2500  0.3390  5 Pt 2.47-2.64
Pt  0.2500  0.2500  0.6610  5 Pt 2.47-2.64
Pt  0.2500  0.2500  0.7975  1 Pt 2.47, 4 Rh 2.70
Pt  0.4210  0.5790  0.5661  8 Pt 2.61-2.83
Pt  0.4210  0.9210  0.4339  8 Pt 2.61-2.83
Pt  0.5003  0.0003  0.0914  2 Ni 2.52-2.53, 6 Pt 2.70-2.77, 2 Rh 2.81
Pt  0.4997  0.9997  0.9086  2 Ni 2.52-2.53, 6 Pt 2.70-2.77, 2 Rh 2.81
Pt  0.4997  0.5003  0.0914  2 Ni 2.52-2.53, 6 Pt 2.70-2.77, 2 Rh 2.81
Pt  0.5003  0.4997  0.9086  2 Ni 2.52-2.53, 6 Pt 2.70-2.77, 2 Rh 2.81
Pt  0.5790  0.0790  0.5661  8 Pt 2.61-2.83
Pt  0.5790  0.4210  0.4339  8 Pt 2.61-2.83
Pt  0.7500  0.7500  0.2025  1 Pt 2.47, 4 Rh 2.70
Pt  0.7500  0.7500  0.3390  5 Pt 2.47-2.64
Pt  0.7500  0.7500  0.6610  5 Pt 2.47-2.64
Pt  0.7500  0.7500  0.7975  1 Pt 2.47, 4 Rh 2.70
Pt  0.9210  0.0790  0.4339  8 Pt 2.61-2.83
Pt  0.9210  0.4210  0.5661  8 Pt 2.61-2.83
Rh  0.2500  0.7500  0.2051  8 Pt 2.70-2.81
Rh  0.2500  0.7500  0.7949  8 Pt 2.70-2.81
Rh  0.7500  0.2500  0.2051  8 Pt 2.70-2.81
Rh  0.7500  0.2500  0.7949  8 Pt 2.70-2.81

Values from the calculation:
- Total DFT energy (no corrections): -5.8294 eV/atom
- Space group: P4/nbm (125)
- Total magnetization: 0.00 μB/atom
- Formation enthalpy at 0 K: 5.53 eV per formula unit

No. 2
MgZnCd2 after structural relaxation, computed with PBE.

abc: 3.1704 3.1704 9.4528
angles: 99.13 99.13 62.70
Closest atoms and distances in Å follow each position.
Fractional coordinates of all 4 atoms:
Mg  0.0000  0.0000  0.0000  6 Cd 3.05-3.07, 6 Mg 3.17-3.30
Zn  0.1599  0.1599  0.4997  6 Cd 2.86-2.90, 4 Zn 3.17
Cd  0.5713  0.5713  0.7374  3 Zn 2.86-2.90, 3 Mg 3.06-3.07, 4 Cd 3.17
Cd  0.7456  0.7456  0.2621  3 Zn 2.86-2.89, 3 Mg 3.05-3.07, 4 Cd 3.17

Values from the calculation:
- Energy above the most stable polymorph in this dataset: 43 meV per atom
- Total DFT energy (no corrections): -1.1523 eV/atom
- Space group: Cm (8)
- Total magnetization: 0.00 μB/atom
- Formation enthalpy at 0 K: 0.09 eV per formula unit